## LaBiAu (PBE)

Data for a relaxed LaBiAu crystal.

- Raw total energy: -4.7857 eV/atom
- Space-group type: P3m1 (156)

```
3
Lattice="4.4769 0.0000 0.0000 0.0000 4.7528 0.0000 0.0000 -2.3764 4.1161" Properties=species:S:1:pos:R:3 pbc="T T T"
La 3.1538 2.3764 1.3720
Au 0.2205 0.0000 0.0000
Bi 1.1026 0.0000 2.7441
```